1.
A plane-wave DFT calculation with PBE-GGA was carried out for an optimized crystal structure of Eu2BiO. Values from VASP.

As for the crystal system: trigonal. The calculation puts the distance to the lowest polymorph of the same formula at 0 meV per atom. The calculation puts the uncorrected formation energy at -1646 meV per atom. As for the size of the total moment: 14.22 μB per formula unit.

Cell and atoms, written as Quantum ESPRESSO input:
```
&SYSTEM
  ibrav = 0, nat = 12, ntyp = 3
/
ATOMIC_SPECIES
Eu 151.96 Eu.upf
Bi 208.98 Bi.upf
O 16.00 O.upf
CELL_PARAMETERS angstrom
3.7822 0.0000 0.0000
-1.8911 3.2755 0.0000
0.0000 0.0000 23.6570
ATOMIC_POSITIONS angstrom
Eu 0.0000 0.0000 5.3132
Eu 0.0000 0.0000 18.3439
Eu 0.0000 2.1836 10.4582
Eu 0.0000 2.1836 21.0846
Eu 1.8911 1.0918 2.5725
Eu 1.8911 1.0918 13.1989
Bi 0.0000 0.0000 0.0000
Bi 0.0000 2.1836 15.7714
Bi 1.8911 1.0918 7.8857
O 0.0000 0.0000 11.8285
O 0.0000 2.1836 3.9428
O 1.8911 1.0918 19.7142
```

***

2.
A plane-wave DFT calculation with PBE-GGA was carried out for an optimized crystal structure of SrEuBiSbO6. Values from VASP.

As for the crystal system: cubic. The calculation puts the distance to the lowest polymorph of the same formula at 129 meV per atom. The calculation puts the uncorrected formation energy at -1928 meV per atom. As for the size of the total moment: 7.00 μB per formula unit.

Cell and atoms, written as Quantum ESPRESSO input:
```
&SYSTEM
  ibrav = 0, nat = 10, ntyp = 5
/
ATOMIC_SPECIES
Sr 87.62 Sr.upf
Eu 151.96 Eu.upf
Bi 208.98 Bi.upf
Sb 121.76 Sb.upf
O 16.00 O.upf
CELL_PARAMETERS angstrom
0.0000 4.2771 4.2771
4.2771 0.0000 4.2771
4.2771 4.2771 0.0000
ATOMIC_POSITIONS angstrom
Sr 0.0000 0.0000 0.0000
Eu 4.2771 4.2771 4.2771
Bi 6.4157 6.4157 6.4157
Sb 2.1386 2.1386 2.1386
O 2.1386 2.1386 0.1399
O 2.1386 0.1399 2.1386
O 4.1372 2.1386 2.1386
O 0.1399 2.1386 2.1386
O 2.1386 4.1372 2.1386
O 2.1386 2.1386 4.1372
```

***

3.
A plane-wave DFT calculation with PBE-GGA was carried out for an optimized crystal structure of SrEuBiSbO6. Values from VASP.

As for the crystal system: triclinic. The calculation puts the distance to the lowest polymorph of the same formula at 0 meV per atom. The calculation puts the uncorrected formation energy at -2057 meV per atom. As for the size of the total moment: 6.89 μB per formula unit.

Cell and atoms, written as Quantum ESPRESSO input:
```
&SYSTEM
  ibrav = 0, nat = 20, ntyp = 5
/
ATOMIC_SPECIES
Sr 87.62 Sr.upf
Eu 151.96 Eu.upf
Bi 208.98 Bi.upf
Sb 121.76 Sb.upf
O 16.00 O.upf
CELL_PARAMETERS angstrom
5.8958 0.0000 0.0000
-0.0019 6.0874 0.0000
-0.0180 -0.0136 8.4401
ATOMIC_POSITIONS angstrom
Sr 0.0674 2.7414 2.1249
Sr 5.8085 3.3324 6.3153
Eu 2.8428 5.7802 2.1084
Eu 3.0331 0.2936 6.3318
Bi -0.0090 -0.0068 4.2201
Bi 2.9469 3.0437 0.0000
Sb 0.0000 0.0000 0.0000
Sb 2.9379 3.0369 4.2201
O 0.6478 5.8458 6.5116
O 1.0747 4.4250 0.5171
O 1.2913 4.1663 3.8212
O 1.6344 1.1305 0.4677
O 1.8960 1.3353 3.7102
O 2.3514 2.7409 6.1570
O 3.5245 3.3330 2.2832
O 3.9799 4.7386 4.7299
O 4.2415 4.9433 7.9725
O 4.5846 1.9076 4.6190
O 4.8012 1.6489 7.9231
O 5.2281 0.2281 1.9285
```